Tb5PmAg4: optimized geometry, PBE-GGA.

Structure (POSCAR):
```
Tb5PmAg4
1.0
3.627 0.000 0.000
0.000 3.627 0.000
0.000 0.000 19.834
Tb Pm Ag
5 1 4
Direct
0.000 0.000 0.000
0.000 0.000 0.187
0.000 0.000 0.372
0.000 0.000 0.628
0.000 0.000 0.813
0.500 0.500 0.500
0.500 0.500 0.093
0.500 0.500 0.280
0.500 0.500 0.720
0.500 0.500 0.907
```

Computed properties:
DFT formation energy: -237 kJ/mol of formula units
Crystal system: tetragonal
Symmetry: P4/mmm
Volume: 260.9 Å³ per cell